Record 1
Crystalline HfMgSi at its relaxed geometry. Source: the Open Quantum Materials Database, functional PBE.

Cell: 6.247 6.247 6.247 Å, 90.00 90.00 90.00°
Positions (direct):
1 Hf 0.000 0.000 0.000
2 Hf 0.000 0.500 0.500
3 Hf 0.500 0.000 0.500
4 Hf 0.500 0.500 0.000
5 Mg 0.000 0.000 0.500
6 Mg 0.000 0.500 0.000
7 Mg 0.500 0.000 0.000
8 Mg 0.500 0.500 0.500
9 Si 0.250 0.250 0.250
10 Si 0.250 0.750 0.750
11 Si 0.750 0.250 0.750
12 Si 0.750 0.750 0.250

Output
E, eV per cell: -68.37
SG: F-43m


Record 2
Crystalline Nd2NbGa2 at its relaxed geometry. Source: the Open Quantum Materials Database, functional PBE.

Cell: 7.370 7.370 4.447 Å, 90.00 90.00 90.00°
Positions (direct):
1 Nd 0.177 0.323 0.000
2 Nd 0.323 0.823 0.000
3 Nd 0.677 0.177 0.000
4 Nd 0.823 0.677 0.000
5 Nb 0.000 0.000 0.500
6 Nb 0.500 0.500 0.500
7 Ga 0.127 0.627 0.500
8 Ga 0.373 0.127 0.500
9 Ga 0.627 0.873 0.500
10 Ga 0.873 0.373 0.500

Output
E, eV per cell: -53.55
SG: P4/mbm


Record 3
Crystalline LuAlAu at its relaxed geometry. Source: the Open Quantum Materials Database, functional PBE.

Cell: 6.502 6.502 6.502 Å, 90.00 90.00 90.00°
Positions (direct):
1 Lu 0.000 0.000 0.000
2 Lu 0.000 0.500 0.500
3 Lu 0.500 0.000 0.500
4 Lu 0.500 0.500 0.000
5 Al 0.000 0.000 0.500
6 Al 0.000 0.500 0.000
7 Al 0.500 0.000 0.000
8 Al 0.500 0.500 0.500
9 Au 0.250 0.250 0.750
10 Au 0.250 0.750 0.250
11 Au 0.750 0.250 0.250
12 Au 0.750 0.750 0.750

Output
E, eV per cell: -53.47
SG: F-43m


Record 4
Crystalline ScPaFe at its relaxed geometry. Source: the Open Quantum Materials Database, functional PBE.

Cell: 6.299 6.299 6.299 Å, 90.00 90.00 90.00°
Positions (direct):
1 Sc 0.000 0.000 0.000
2 Sc 0.000 0.500 0.500
3 Sc 0.500 0.000 0.500
4 Sc 0.500 0.500 0.000
5 Pa 0.000 0.000 0.500
6 Pa 0.000 0.500 0.000
7 Pa 0.500 0.000 0.000
8 Pa 0.500 0.500 0.500
9 Fe 0.250 0.250 0.750
10 Fe 0.250 0.750 0.250
11 Fe 0.750 0.250 0.250
12 Fe 0.750 0.750 0.750

Output
Formation energy, eV/atom: 0.129
Excess energy over the best structure of this formula in the dataset, meV per atom: 0
SG: F-43m


Record 5
Crystalline SrInAuSe3 at its relaxed geometry. Source: the Open Quantum Materials Database, functional PBE.

Cell: 7.430 7.430 10.960 Å, 90.00 90.00 147.29°
Positions (direct):
1 Sr 0.207 0.793 0.750
2 Sr 0.793 0.207 0.250
3 In 0.500 0.500 0.000
4 In 0.500 0.500 0.500
5 Au 0.123 0.877 0.250
6 Au 0.877 0.123 0.750
7 Se 0.131 0.869 0.027
8 Se 0.131 0.869 0.473
9 Se 0.446 0.554 0.250
10 Se 0.554 0.446 0.750
11 Se 0.869 0.131 0.527
12 Se 0.869 0.131 0.973

Output
E, eV per cell: -46.05
SG: Cmcm


Record 6
Crystalline YHo2Tl2Zn3Cd at its relaxed geometry. Source: the Open Quantum Materials Database, functional PBE.

Cell: 4.527 7.235 7.235 Å, 120.16 90.00 90.00°
Positions (direct):
1 Y 0.000 0.000 0.000
2 Ho 0.000 0.140 0.571
3 Ho 0.000 0.571 0.140
4 Tl 0.500 0.237 0.903
5 Tl 0.500 0.903 0.237
6 Zn 0.500 0.339 0.339
7 Zn 0.500 0.570 0.800
8 Zn 0.500 0.800 0.570
9 Cd 0.000 0.568 0.568

Output
E, eV per cell: -27.78
SG: Amm2